# Mn6V5Cr PBE optimized geometry
data_Mn6V5Cr
_chemical_formula_sum 'Mn12 V10 Cr2'
_space_group_name_H-M_alt 'C 1 2/m 1'
_space_group_IT_number 12
_space_group_name_Hall '-C 2y'
_cell_length_a 7.016
_cell_length_b 12.131
_cell_length_c 4.057
_cell_angle_alpha 90.00
_cell_angle_beta 125.21
_cell_angle_gamma 90.00
loop_
_atom_site_label
_atom_site_type_symbol
_atom_site_fract_x
_atom_site_fract_y
_atom_site_fract_z
Mn1 Mn 0.248 0.000 0.248
Mn2 Mn 0.249 0.166 0.749
V1 V 0.000 0.165 0.000
V2 V 0.000 0.333 0.500
V3 V 0.000 0.500 0.000
Cr1 Cr 0.000 0.000 0.500
# magnetization = 0.00 μB/f.u.
# energy of formation from the pure elements = -0.22 eV/atom
# E = -9.41 eV/atom